No. 1
Material: HfCuBiB2
Method: DFT, GGA-PBE
State: relaxed

a b c (Å): 4.0310 4.0310 5.3877
angles (deg): 90.00 90.00 90.00
Closest atoms and distances in Å follow each position.
Space group P4/mmm (No. 123)
Symmetry-distinct sites (fractional):
Hf 0.0000 0.0000 0.0000 [1 per cell]  4 Bi 2.85
Cu 0.5000 0.5000 0.5000 [1 per cell]  4 B 2.02
Bi 0.5000 0.5000 0.0000 [1 per cell]  2 Cu 2.69, 4 Hf 2.85
B 0.0000 0.5000 0.5000 [2 per cell]  2 Cu 2.02

No. 2
Material: In2CuBiB
Method: DFT, GGA-PBE
State: relaxed

a b c (Å): 5.0812 5.0812 4.0386
angles (deg): 90.00 90.00 90.00
Closest atoms and distances in Å follow each position.
Space group P4/mmm (No. 123)
Symmetry-distinct sites (fractional):
In 0.0000 0.5000 0.0000 [2 per cell]  2 B 2.54
Cu 0.0000 0.0000 0.5000 [1 per cell]  2 B 2.02
Bi 0.5000 0.5000 0.5000 [1 per cell]  8 In 3.25, 4 Cu 3.59
B 0.0000 0.0000 0.0000 [1 per cell]  2 Cu 2.02

No. 3
Material: K2CuBiB
Method: DFT, GGA-PBE
State: relaxed

a b c (Å): 6.3682 6.3682 3.8480
angles (deg): 90.00 90.00 90.00
Closest atoms and distances in Å follow each position.
Space group P4/mmm (No. 123)
Symmetry-distinct sites (fractional):
K 0.0000 0.5000 0.0000 [2 per cell]  2 Cu 3.18
Cu 0.0000 0.0000 0.0000 [1 per cell]  2 B 1.92
Bi 0.5000 0.5000 0.5000 [1 per cell]  8 K 3.72, 2 Bi 3.85
B 0.0000 0.0000 0.5000 [1 per cell]  2 Cu 1.92

No. 4
Material: CuNiBi2B
Method: DFT, GGA-PBE
State: relaxed

a b c (Å): 5.2258 5.2258 3.7227
angles (deg): 90.00 90.00 90.00
Closest atoms and distances in Å follow each position.
Space group P4/mmm (No. 123)
Symmetry-distinct sites (fractional):
Cu 0.0000 0.0000 0.0000 [1 per cell]  8 Bi 3.21
Ni 0.5000 0.5000 0.5000 [1 per cell]  2 B 1.86
Bi 0.0000 0.5000 0.5000 [2 per cell]  2 Ni 2.61
B 0.5000 0.5000 0.0000 [1 per cell]  2 Ni 1.86

No. 5
Material: CuBiBPb2
Method: DFT, GGA-PBE
State: relaxed

a b c (Å): 5.5879 5.5879 3.8911
angles (deg): 90.00 90.00 90.00
Closest atoms and distances in Å follow each position.
Space group P4/mmm (No. 123)
Symmetry-distinct sites (fractional):
Cu 0.0000 0.0000 0.0000 [1 per cell]  2 B 1.95
Bi 0.5000 0.5000 0.5000 [1 per cell]  8 Pb 3.40
B 0.0000 0.0000 0.5000 [1 per cell]  2 Cu 1.95
Pb 0.0000 0.5000 0.0000 [2 per cell]  2 Cu 2.79

No. 6
Material: RbCuBiB2
Method: DFT, GGA-PBE
State: relaxed

a b c (Å): 5.0271 5.0271 5.1918
angles (deg): 90.00 90.00 90.00
Closest atoms and distances in Å follow each position.
Space group P4/mmm (No. 123)
Symmetry-distinct sites (fractional):
Rb 0.0000 0.0000 0.0000 [1 per cell]  4 Cu 3.55, 8 B 3.61
Cu 0.5000 0.5000 0.0000 [1 per cell]  2 Bi 2.60
Bi 0.5000 0.5000 0.5000 [1 per cell]  4 B 2.51, 2 Cu 2.60
B 0.0000 0.5000 0.5000 [2 per cell]  2 Bi 2.51

No. 7
Material: CuBiBRh2
Method: DFT, GGA-PBE
State: relaxed

a b c (Å): 4.2350 4.2350 4.1961
angles (deg): 90.00 90.00 90.00
Closest atoms and distances in Å follow each position.
Space group P4/mmm (No. 123)
Symmetry-distinct sites (fractional):
Cu 0.0000 0.0000 0.0000 [1 per cell]  2 B 2.10
Bi 0.5000 0.5000 0.0000 [1 per cell]  8 Rh 2.98, 4 Cu 2.99
B 0.0000 0.0000 0.5000 [1 per cell]  2 Cu 2.10, 4 Rh 2.12
Rh 0.0000 0.5000 0.5000 [2 per cell]  2 B 2.12

No. 8
Material: CuSn2BiB
Method: DFT, GGA-PBE
State: relaxed

a b c (Å): 6.0323 6.0323 4.4262
angles (deg): 90.00 90.00 90.00
Closest atoms and distances in Å follow each position.
Space group P4/mmm (No. 123)
Symmetry-distinct sites (fractional):
Cu 0.0000 0.0000 0.0000 [1 per cell]  8 Sn 3.74
Sn 0.0000 0.5000 0.5000 [2 per cell]  2 Bi 3.02
Bi 0.5000 0.5000 0.5000 [1 per cell]  2 B 2.21
B 0.5000 0.5000 0.0000 [1 per cell]  2 Bi 2.21

Energy per entry: -25.196 -17.785 -14.349 -21.400 -19.277 -14.224 -29.531 -14.974 eV per cell